Entry 1:
Below is an optimized crystal structure of LiGa2Pt, with properties calculated at the GGA-PBE level.

Cell: 3.294 3.294 5.546 Å, 90.00 90.00 90.00°
Element x y z (fractional)
Pt 0.500 0.500 0.000
Li 0.500 0.500 0.500
Ga 0.000 0.000 0.250
Ga 0.000 0.000 0.750

Results
For the density of states at the Fermi level, the calculation gives 1.56 states/eV per cell. The calculation puts the formation energy from the elements at -0.483 eV/atom. Its magnetization is 0.00 μB/f.u. Its symmetry is P4/mmm. The value obtained for the density is 9424 kg/m3.



Entry 2:
Below is an optimized crystal structure of Li2Ga2Pt7, with properties calculated at the GGA-PBE level.

Cell: 6.477 4.445 6.477 Å, 86.62 103.36 93.38°
Element x y z (fractional)
Ga 0.779 0.500 0.779
Ga 0.221 0.500 0.221
Pt 0.431 0.228 0.569
Pt 0.976 0.763 0.379
Pt 0.024 0.237 0.621
Pt 0.621 0.763 0.024
Pt 0.000 0.000 0.000
Pt 0.379 0.237 0.976
Pt 0.569 0.772 0.431
Li 0.743 0.269 0.257
Li 0.257 0.731 0.743

Results
For the density of states at the Fermi level, the calculation gives 6.37 states/eV per cell. The calculation puts the formation energy from the elements at -0.281 eV/atom. Its magnetization is 0.00 μB/f.u. Its symmetry is C2/m. The value obtained for the density is 13944 kg/m3.